PBE+U V3BiF, relaxed; E above lowest polymorph = 0 meV/atom; space group = No. 221
1.0
-2.803 -0.506 -3.223
2.735 -2.681 -1.957
-1.779 -3.325 2.069
V Bi F
3 1 1
Direct
0.000 0.500 0.000
0.000 0.000 0.500
0.500 0.000 0.000
0.500 0.500 0.500
0.000 0.000 0.000